Entry 1:
# Cr11Re4 SCAN single point on PBEsol structure
data_Cr11Re4
_cell_length_a 8.929
_cell_length_b 8.929
_cell_length_c 4.608
_cell_angle_alpha 90.00
_cell_angle_beta 90.00
_cell_angle_gamma 90.00
_space_group_name_H-M_alt 'P 42/m n m'
_space_group_IT_number 136
_space_group_name_Hall '-P 4n 2n'
loop_
_atom_site_label
_atom_site_fract_x
_atom_site_fract_y
_atom_site_fract_z
Cr1 0.000 0.000 0.000
Cr2 0.062 0.249 0.000
Cr3 0.095 0.095 0.500
Cr4 0.187 0.813 0.254
Re1 0.035 0.361 0.500
# total energy: -32.389 eV/atom
# theoretical density: 11.90 g/cm³
# total moment: 0.00 Bohr magnetons per cell
# DOS(E_F): 16.838 states/eV/f.u.

---

Entry 2:
# CrRe SCAN single point on PBEsol structure
data_CrRe
_cell_length_a 2.625
_cell_length_b 4.125
_cell_length_c 4.923
_cell_angle_alpha 90.00
_cell_angle_beta 101.50
_cell_angle_gamma 90.00
_space_group_name_H-M_alt 'P 1 21/m 1'
_space_group_IT_number 11
loop_
_space_group_symop_operation_xyz
'x,y,z'
'-x,-y,-z'
'-x,y+1/2,-z'
'x,-y+1/2,z'
loop_
_atom_site_label
_atom_site_fract_x
_atom_site_fract_y
_atom_site_fract_z
Cr1 0.098 0.250 0.386
Re1 0.361 0.750 0.135
# total energy: -44.711 eV/atom
# theoretical density: 15.14 g/cm³
# total moment: 0.00 Bohr magnetons per cell
# DOS(E_F): 1.924 states/eV/f.u.

---

Entry 3:
# CrRe SCAN single point on PBEsol structure
data_CrRe
_cell_length_a 9.245
_cell_length_b 2.909
_cell_length_c 6.137
_cell_angle_alpha 90.00
_cell_angle_beta 109.72
_cell_angle_gamma 90.00
_space_group_name_H-M_alt 'C 1 2/m 1'
_space_group_IT_number 12
loop_
_space_group_symop_operation_xyz
'x,y,z'
'-x,-y,-z'
'-x,y,-z'
'x,-y,z'
'x+1/2,y+1/2,z'
'-x+1/2,-y+1/2,-z'
'-x+1/2,y+1/2,-z'
'x+1/2,-y+1/2,z'
loop_
_atom_site_label
_atom_site_fract_x
_atom_site_fract_y
_atom_site_fract_z
Cr1 0.000 0.000 0.000
Cr2 0.158 0.500 0.857
Re1 0.000 0.000 0.500
Re2 0.176 0.500 0.316
# total energy: -44.723 eV/atom
# theoretical density: 15.28 g/cm³
# total moment: 0.00 Bohr magnetons per cell
# DOS(E_F): 1.754 states/eV/f.u.

---

Entry 4:
# Cr7Re8 SCAN single point on PBEsol structure
data_Cr7Re8
_cell_length_a 8.989
_cell_length_b 8.989
_cell_length_c 4.899
_cell_angle_alpha 90.00
_cell_angle_beta 90.00
_cell_angle_gamma 90.00
_space_group_name_H-M_alt 'P 42/m n m'
_space_group_IT_number 136
_space_group_name_Hall '-P 4n 2n'
loop_
_atom_site_label
_atom_site_fract_x
_atom_site_fract_y
_atom_site_fract_z
Cr1 0.000 0.000 0.000
Cr2 0.065 0.250 0.000
Cr3 0.093 0.093 0.500
Re1 0.035 0.362 0.500
Re2 0.185 0.815 0.251
# total energy: -46.493 eV/atom
# theoretical density: 15.55 g/cm³
# total moment: 0.00 Bohr magnetons per cell
# DOS(E_F): 11.348 states/eV/f.u.

---

Entry 5:
# CrRe SCAN single point on PBEsol structure
data_CrRe
_cell_length_a 2.7298
_cell_length_b 2.7298
_cell_length_c 8.2069
_cell_angle_alpha 90.00
_cell_angle_beta 90.00
_cell_angle_gamma 120.00
_space_group_name_H-M_alt 'P -3 m 1'
_space_group_IT_number 164
_space_group_name_Hall '-P 3 2"'
loop_
_atom_site_label
_atom_site_fract_x
_atom_site_fract_y
_atom_site_fract_z
Cr1 0.3333 0.6667 0.0990
Re1 0.3333 0.6667 0.6326
# total energy: -44.455 eV/atom
# theoretical density: 14.94 g/cm³
# total moment: 0.00 Bohr magnetons per cell
# DOS(E_F): 2.031 states/eV/f.u.

---

Entry 6:
# Cr5Re24 SCAN single point on PBEsol structure
data_Cr5Re24
_cell_length_a 9.494
_cell_length_b 9.494
_cell_length_c 9.494
_cell_angle_alpha 90.00
_cell_angle_beta 90.00
_cell_angle_gamma 90.00
_space_group_name_H-M_alt 'I -4 3 m'
_space_group_IT_number 217
_space_group_name_Hall 'I -4 2 3'
loop_
_atom_site_label
_atom_site_fract_x
_atom_site_fract_y
_atom_site_fract_z
Cr1 0.000 0.000 0.000
Cr2 0.178 0.178 0.178
Re1 0.044 0.359 0.641
Re2 0.091 0.091 0.716
# total energy: -62.029 eV/atom
# theoretical density: 18.35 g/cm³
# total moment: 28.34 Bohr magnetons per cell
# DOS(E_F): 16.943 states/eV/f.u.

---

Entry 7:
# Cr2Re SCAN single point on PBEsol structure
data_Cr2Re
_cell_length_a 9.024
_cell_length_b 9.024
_cell_length_c 4.621
_cell_angle_alpha 90.00
_cell_angle_beta 90.00
_cell_angle_gamma 90.00
_space_group_name_H-M_alt 'P 42/m n m'
_space_group_IT_number 136
_space_group_name_Hall '-P 4n 2n'
loop_
_atom_site_label
_atom_site_fract_x
_atom_site_fract_y
_atom_site_fract_z
Cr1 0.067 0.256 0.000
Cr2 0.099 0.099 0.500
Cr3 0.186 0.814 0.254
Re1 0.000 0.000 0.000
Re2 0.037 0.362 0.500
# total energy: -35.909 eV/atom
# theoretical density: 12.81 g/cm³
# total moment: 0.00 Bohr magnetons per cell
# DOS(E_F): 3.353 states/eV/f.u.

---

Entry 8:
# CrReRh3 SCAN single point on PBEsol structure
data_CrReRh3
_cell_length_a 4.316
_cell_length_b 4.316
_cell_length_c 4.316
_cell_angle_alpha 90.00
_cell_angle_beta 90.00
_cell_angle_gamma 90.00
_space_group_name_H-M_alt 'P m -3 m'
_space_group_IT_number 221
_space_group_name_Hall '-P 4 2 3'
loop_
_atom_site_label
_atom_site_fract_x
_atom_site_fract_y
_atom_site_fract_z
Cr1 0.000 0.000 0.000
Re1 0.500 0.500 0.500
Rh1 0.000 0.000 0.500
# theoretical density: 11.30 g/cm³
# total moment: 3.73 Bohr magnetons per cell
# offset from the most stable computed form: 1.35 eV per formula unit
# DOS(E_F): 4.959 states/eV/f.u.

---

Entry 9:
# CrReRh3 SCAN single point on PBEsol structure
data_CrReRh3
_cell_length_a 4.614
_cell_length_b 4.614
_cell_length_c 4.614
_cell_angle_alpha 90.00
_cell_angle_beta 90.00
_cell_angle_gamma 90.00
_space_group_name_H-M_alt 'P m -3 m'
_space_group_IT_number 221
_space_group_name_Hall '-P 4 2 3'
loop_
_atom_site_label
_atom_site_fract_x
_atom_site_fract_y
_atom_site_fract_z
Cr1 0.000 0.000 0.000
Re1 0.500 0.500 0.500
Rh1 0.000 0.500 0.500
# theoretical density: 9.25 g/cm³
# total moment: 4.68 Bohr magnetons per cell
# offset from the most stable computed form: 0.00 eV per formula unit
# DOS(E_F): 4.324 states/eV/f.u.

---

Entry 10:
# Cr4ReRh SCAN single point on PBEsol structure
data_Cr4ReRh
_cell_length_a 6.608
_cell_length_b 6.608
_cell_length_c 6.608
_cell_angle_alpha 90.00
_cell_angle_beta 90.00
_cell_angle_gamma 90.00
_space_group_name_H-M_alt 'F -4 3 m'
_space_group_IT_number 216
_space_group_name_Hall 'F -4 2 3'
loop_
_atom_site_label
_atom_site_fract_x
_atom_site_fract_y
_atom_site_fract_z
Cr1 0.124 0.124 0.376
Re1 0.250 0.250 0.750
Rh1 0.000 0.000 0.000
# total energy: -29.749 eV/atom
# theoretical density: 11.44 g/cm³
# total moment: 0.00 Bohr magnetons per cell
# DOS(E_F): 5.021 states/eV/f.u.

---

Entry 11:
# CrReS2 SCAN single point on PBEsol structure
data_CrReS2
_cell_length_a 5.767
_cell_length_b 5.767
_cell_length_c 5.767
_cell_angle_alpha 90.00
_cell_angle_beta 90.00
_cell_angle_gamma 90.00
_space_group_name_H-M_alt 'F m -3 m'
_space_group_IT_number 225
_space_group_name_Hall '-F 4 2 3'
loop_
_atom_site_label
_atom_site_fract_x
_atom_site_fract_y
_atom_site_fract_z
Cr1 0.000 0.000 0.000
Re1 0.000 0.000 0.500
S1 0.250 0.250 0.250
# theoretical density: 10.47 g/cm³
# raw formation energy: 0.223 eV/atom
# total moment: 4.98 Bohr magnetons per cell
# DOS(E_F): 2.730 states/eV/f.u.